# 1
VASP calculation (GGA-PBE) on Pa3Si4Pd7 after structural relaxation.

a b c (Å): 8.080 8.080 9.500
angles (deg): 124.68 124.68 29.10
Element x y z (fractional)
Pa: 0.000 0.000 0.000
Pa: 0.319 0.319 0.324
Pa: 0.681 0.681 0.676
Si: 0.110 0.110 0.829
Si: 0.343 0.343 0.744
Si: 0.657 0.657 0.256
Si: 0.890 0.890 0.171
Pd: 0.000 0.000 0.500
Pd: 0.166 0.166 0.430
Pd: 0.309 0.309 0.971
Pd: 0.491 0.491 0.710
Pd: 0.509 0.509 0.290
Pd: 0.691 0.691 0.029
Pd: 0.834 0.834 0.570

Results
Formation energy from raw total energies, eV per atom: -0.76
Total magnetization, μB/atom: 0.000

=====

# 2
VASP calculation (GGA-PBE) on Pa2Si4Pd3 after structural relaxation.

a b c (Å): 7.869 7.869 7.428
angles (deg): 90.00 90.00 137.51
Element x y z (fractional)
Pa: 0.108 0.892 0.909
Pa: 0.392 0.608 0.409
Pa: 0.608 0.392 0.591
Pa: 0.892 0.108 0.091
Si: 0.178 0.822 0.528
Si: 0.197 0.303 0.750
Si: 0.303 0.197 0.250
Si: 0.322 0.678 0.028
Si: 0.678 0.322 0.972
Si: 0.697 0.803 0.750
Si: 0.803 0.697 0.250
Si: 0.822 0.178 0.472
Pd: 0.000 0.000 0.500
Pd: 0.029 0.471 0.750
Pd: 0.471 0.029 0.250
Pd: 0.500 0.500 0.000
Pd: 0.529 0.971 0.750
Pd: 0.971 0.529 0.250

Results
Formation energy from raw total energies, eV per atom: -0.65
Total magnetization, μB/atom: 0.000

=====

# 3
VASP calculation (GGA-PBE) on PaSi2Pd4 after structural relaxation.

a b c (Å): 4.122 13.643 4.164
angles (deg): 90.00 90.00 90.00
Element x y z (fractional)
Pa: 0.000 0.000 0.000
Pa: 0.500 0.500 0.000
Si: 0.000 0.416 0.500
Si: 0.000 0.584 0.500
Si: 0.500 0.084 0.500
Si: 0.500 0.916 0.500
Pd: 0.000 0.176 0.500
Pd: 0.000 0.327 0.000
Pd: 0.000 0.673 0.000
Pd: 0.000 0.824 0.500
Pd: 0.500 0.173 0.000
Pd: 0.500 0.324 0.500
Pd: 0.500 0.676 0.500
Pd: 0.500 0.827 0.000

Results
Formation energy from raw total energies, eV per atom: -0.67
Total magnetization, μB/atom: 0.000
Polymorph energy (0 for the lowest one), meV per atom: 25

=====

# 4
VASP calculation (GGA-PBE) on PaSi2Pd3 after structural relaxation.

a b c (Å): 8.395 8.395 9.813
angles (deg): 108.41 108.41 27.87
Element x y z (fractional)
Pa: 0.000 0.000 0.000
Pa: 0.157 0.157 0.699
Pa: 0.843 0.843 0.301
Si: 0.199 0.199 0.129
Si: 0.364 0.364 0.550
Si: 0.462 0.462 0.218
Si: 0.538 0.538 0.782
Si: 0.636 0.636 0.450
Si: 0.801 0.801 0.871
Pd: 0.038 0.038 0.334
Pd: 0.220 0.220 0.392
Pd: 0.320 0.320 0.037
Pd: 0.379 0.379 0.803
Pd: 0.500 0.500 0.500
Pd: 0.621 0.621 0.197
Pd: 0.680 0.680 0.963
Pd: 0.780 0.780 0.608
Pd: 0.962 0.962 0.666

Results
Formation energy from raw total energies, eV per atom: -0.74
Total magnetization, μB/atom: 0.048

=====

# 5
VASP calculation (GGA-PBE) on Pa2Si2Pd after structural relaxation.

a b c (Å): 7.763 7.763 6.289
angles (deg): 90.00 90.00 146.48
Element x y z (fractional)
Pa: 0.010 0.990 0.500
Pa: 0.199 0.801 0.782
Pa: 0.801 0.199 0.282
Pa: 0.990 0.010 0.000
Si: 0.174 0.826 0.256
Si: 0.429 0.571 0.257
Si: 0.571 0.429 0.757
Si: 0.826 0.174 0.756
Pd: 0.395 0.605 0.649
Pd: 0.605 0.395 0.149

Results
Formation energy from raw total energies, eV per atom: -0.48
Total magnetization, μB/atom: 0.000
Polymorph energy (0 for the lowest one), meV per atom: 145

=====

# 6
VASP calculation (GGA-PBE) on PaSi3Pd after structural relaxation.

a b c (Å): 4.106 8.043 6.240
angles (deg): 90.00 108.68 90.00
Element x y z (fractional)
Pa: 0.005 0.250 0.009
Pa: 0.995 0.750 0.991
Si: 0.300 0.750 0.605
Si: 0.420 0.004 0.806
Si: 0.420 0.496 0.806
Si: 0.580 0.504 0.194
Si: 0.580 0.996 0.194
Si: 0.700 0.250 0.395
Pd: 0.294 0.250 0.591
Pd: 0.706 0.750 0.409

Results
Formation energy from raw total energies, eV per atom: -0.37
Total magnetization, μB/atom: 0.000
Polymorph energy (0 for the lowest one), meV per atom: 120